Run A
# Fe4Co3 (SCAN, single point on PBEsol structure)
# mass density	8.69	g/cm³
data_Fe4Co3
_cell_length_a 3.940
_cell_length_b 4.627
_cell_length_c 4.652
_cell_angle_alpha 94.67
_cell_angle_beta 90.00
_cell_angle_gamma 115.20
_space_group_name_H-M_alt 'P 1'
_space_group_IT_number 1
loop_
_space_group_symop_operation_xyz
'x,y,z'
loop_
_atom_site_label
_atom_site_type_symbol
_atom_site_fract_x
_atom_site_fract_y
_atom_site_fract_z
Fe1 Fe 0.857 0.715 0.426
Fe2 Fe 0.429 0.858 0.717
Fe3 Fe 0.571 0.142 0.283
Fe4 Fe 0.143 0.285 0.574
Co1 Co 0.713 0.425 0.854
Co2 Co 0.287 0.575 0.146
Co3 Co 0.000 0.000 0.000


Run B
# Fe4Co3 (SCAN, single point on PBEsol structure)
# mass density	8.72	g/cm³
data_Fe4Co3
_cell_length_a 3.957
_cell_length_b 3.957
_cell_length_c 6.069
_cell_angle_alpha 70.97
_cell_angle_beta 70.97
_cell_angle_gamma 60.00
_space_group_name_H-M_alt 'P 1'
_space_group_IT_number 1
loop_
_space_group_symop_operation_xyz
'x,y,z'
loop_
_atom_site_label
_atom_site_type_symbol
_atom_site_fract_x
_atom_site_fract_y
_atom_site_fract_z
Co1 Co 0.214 0.214 0.358
Co2 Co 0.500 0.500 0.500
Co3 Co 0.786 0.786 0.642
Fe1 Fe 0.072 0.072 0.784
Fe2 Fe 0.643 0.643 0.072
Fe3 Fe 0.357 0.357 0.928
Fe4 Fe 0.928 0.928 0.216


On energetic grounds, run A is preferred over the next structure by 0.024 eV/atom.


Run A
# Fe4Co3 (SCAN, single point on PBEsol structure)
# mass density	8.70	g/cm³
data_Fe4Co3
_cell_length_a 2.781
_cell_length_b 2.781
_cell_length_c 10.075
_cell_angle_alpha 97.93
_cell_angle_beta 97.93
_cell_angle_gamma 90.00
_space_group_name_H-M_alt 'P 1'
_space_group_IT_number 1
loop_
_space_group_symop_operation_xyz
'x,y,z'
loop_
_atom_site_label
_atom_site_type_symbol
_atom_site_fract_x
_atom_site_fract_y
_atom_site_fract_z
Co1 Co 0.786 0.786 0.573
Co2 Co 0.214 0.214 0.427
Co3 Co 0.500 0.500 0.000
Fe1 Fe 0.644 0.644 0.288
Fe2 Fe 0.929 0.929 0.858
Fe3 Fe 0.356 0.356 0.712
Fe4 Fe 0.071 0.071 0.142


Run B
# Fe4Co3 (SCAN, single point on PBEsol structure)
# mass density	8.72	g/cm³
data_Fe4Co3
_cell_length_a 2.426
_cell_length_b 6.076
_cell_length_c 6.076
_cell_angle_alpha 118.26
_cell_angle_beta 97.65
_cell_angle_gamma 97.65
_space_group_name_H-M_alt 'P 1'
_space_group_IT_number 1
loop_
_space_group_symop_operation_xyz
'x,y,z'
loop_
_atom_site_label
_atom_site_type_symbol
_atom_site_fract_x
_atom_site_fract_y
_atom_site_fract_z
Fe1 Fe 0.569 0.000 0.000
Fe2 Fe 0.144 0.429 0.287
Fe3 Fe 0.715 0.858 0.571
Fe4 Fe 0.857 0.713 0.142
Co1 Co 0.000 0.572 0.714
Co2 Co 0.287 0.286 0.858
Co3 Co 0.429 0.142 0.428


On energetic grounds, run A is preferred over the next structure by 0.024 eV/atom.